Computed, not measured: a relaxed structure of Pr8CdRh2 at the GGA-PBE level of DFT.

a = 8.781 Å, b = 14.092 Å, c = 5.771 Å
α = 90.00°, β = 105.27°, γ = 90.00°
Space group Cm (No. 8)
Inequivalent atoms, fractional coordinates:
Pr1 0.000 0.000 0.000 [2 per cell]
Pr2 0.104 0.255 0.808 [4 per cell]
Pr3 0.209 0.000 0.616 [2 per cell]
Pr4 0.314 0.375 0.372 [4 per cell]
Pr5 0.395 0.125 0.243 [4 per cell]
Cd1 0.105 0.500 0.808 [2 per cell]
Rh1 0.105 0.210 0.308 [4 per cell]

Computed properties:
energy of formation: -0.24 eV per atom
Fermi-level density of states: 1.22 states/eV per atom
energy relative to the lowest polymorph listed for this composition: 19 meV per atom

---

Computed, not measured: a relaxed structure of Pr3Cd3Rh at the GGA-PBE level of DFT.

a = 14.587 Å, b = 14.587 Å, c = 14.587 Å
α = 90.00°, β = 90.00°, γ = 90.00°
Space group Fd-3m (No. 227, origin choice 2)
Inequivalent atoms, fractional coordinates:
Pr1 0.082 0.375 0.375 [48 per cell]
Cd1 0.000 0.000 0.500 [16 per cell]
Cd2 0.044 0.044 0.706 [32 per cell]
Rh1 0.000 0.000 0.000 [16 per cell]

Computed properties:
energy of formation: -0.41 eV per atom
Fermi-level density of states: 0.86 states/eV per atom

---

Computed, not measured: a relaxed structure of Pr2CdRh at the GGA-PBE level of DFT.

a = 4.0703 Å, b = 4.0703 Å, c = 24.8217 Å
α = 90.00°, β = 90.00°, γ = 120.00°
Space group R-3m (No. 166, hexagonal axes)
Inequivalent atoms, fractional coordinates:
Pr1 0.0000 0.0000 0.2328 [6 per cell]
Cd1 0.0000 0.0000 0.0000 [3 per cell]
Rh1 0.0000 0.0000 0.5000 [3 per cell]

Computed properties:
energy of formation: -0.42 eV per atom
Fermi-level density of states: 0.68 states/eV per atom
energy relative to the lowest polymorph listed for this composition: 42 meV per atom

---

Computed, not measured: a relaxed structure of PrCd8Rh4 at the GGA-PBE level of DFT.

a = 9.406 Å, b = 9.406 Å, c = 5.870 Å
α = 90.00°, β = 90.00°, γ = 90.00°
Space group I4/mmm (No. 139)
Inequivalent atoms, fractional coordinates:
Pr1 0.000 0.000 0.000 [2 per cell]
Cd1 0.000 0.223 0.500 [8 per cell]
Cd2 0.000 0.335 0.000 [8 per cell]
Rh1 0.250 0.250 0.250 [8 per cell]

Computed properties:
energy of formation: -0.23 eV per atom
Fermi-level density of states: 0.50 states/eV per atom

---

Computed, not measured: a relaxed structure of Pr7CdRh2 at the GGA-PBE level of DFT.

a = 9.342 Å, b = 14.086 Å, c = 5.395 Å
α = 90.00°, β = 90.00°, γ = 90.00°
Space group Cmmm (No. 65)
Inequivalent atoms, fractional coordinates:
Pr1 0.000 0.000 0.000 [2 per cell]
Pr2 0.000 0.207 0.500 [4 per cell]
Pr3 0.182 0.372 0.000 [8 per cell]
Cd1 0.000 0.500 0.500 [2 per cell]
Rh1 0.000 0.202 0.000 [4 per cell]

Computed properties:
energy of formation: -0.14 eV per atom
Fermi-level density of states: 1.08 states/eV per atom

---

Computed, not measured: a relaxed structure of Pr6CdRh2 at the GGA-PBE level of DFT.

a = 9.707 Å, b = 10.094 Å, c = 10.786 Å
α = 90.00°, β = 90.00°, γ = 90.00°
Space group Immm (No. 71)
Inequivalent atoms, fractional coordinates:
Pr1 0.000 0.200 0.234 [8 per cell]
Pr2 0.192 0.500 0.171 [8 per cell]
Pr3 0.210 0.321 0.500 [8 per cell]
Cd1 0.000 0.000 0.000 [2 per cell]
Cd2 0.000 0.000 0.500 [2 per cell]
Rh1 0.000 0.334 0.000 [4 per cell]
Rh2 0.000 0.500 0.368 [4 per cell]

Computed properties:
energy of formation: -0.42 eV per atom
Fermi-level density of states: 0.91 states/eV per atom
energy relative to the lowest polymorph listed for this composition: 0 meV per atom

---

Computed, not measured: a relaxed structure of Pr4CdRh at the GGA-PBE level of DFT.

a = 14.163 Å, b = 14.163 Å, c = 14.163 Å
α = 90.00°, β = 90.00°, γ = 90.00°
Space group F-43m (No. 216)
Inequivalent atoms, fractional coordinates:
Pr1 0.000 0.000 0.188 [24 per cell]
Pr2 0.060 0.250 0.750 [24 per cell]
Pr3 0.099 0.099 0.401 [16 per cell]
Cd1 0.170 0.170 0.170 [16 per cell]
Rh1 0.108 0.108 0.608 [16 per cell]

Computed properties:
energy of formation: -0.41 eV per atom
Fermi-level density of states: 0.74 states/eV per atom
energy relative to the lowest polymorph listed for this composition: 0 meV per atom

---

Computed, not measured: a relaxed structure of Pr12Cd5Rh3 at the GGA-PBE level of DFT.

a = 17.772 Å, b = 17.772 Å, c = 17.772 Å
α = 90.00°, β = 90.00°, γ = 90.00°
Space group Ia-3d (No. 230)
Inequivalent atoms, fractional coordinates:
Pr1 0.018 0.091 0.648 [96 per cell]
Cd1 0.000 0.000 0.000 [16 per cell]
Cd2 0.000 0.250 0.375 [24 per cell]
Rh1 0.000 0.250 0.125 [24 per cell]

Computed properties:
energy of formation: 0.13 eV per atom
Fermi-level density of states: 1.02 states/eV per atom